No. 1
First-principles (PBE) data for TbTlF after structural relaxation, as listed in Alexandria.

a = 3.3436 Å, b = 3.3436 Å, c = 12.0016 Å
α = 90.00°, β = 90.00°, γ = 90.00°
Space group I4mm (No. 107)
Inequivalent atoms, fractional coordinates:
Tb 0.0000 0.0000 0.0000 [2 per cell]
Tl 0.0000 0.0000 0.2793 [2 per cell]
F 0.0000 0.0000 0.5442 [2 per cell]

- Uncorrected formation energy: -1528 meV per atom
- Crystal system: tetragonal

No. 2
First-principles (PBE) data for LaPrInPb after structural relaxation, as listed in Alexandria.

a = 7.9246 Å, b = 7.9246 Å, c = 7.9246 Å
α = 90.00°, β = 90.00°, γ = 90.00°
Space group F-43m (No. 216)
Inequivalent atoms, fractional coordinates:
La 0.0000 0.0000 0.0000 [4 per cell]
Pr 0.0000 0.0000 0.5000 [4 per cell]
In 0.2500 0.2500 0.7500 [4 per cell]
Pb 0.2500 0.2500 0.2500 [4 per cell]

- Crystal system: cubic
- ΔE_f: -495 meV/atom

No. 3
First-principles (PBE) data for BeGa2AsH after structural relaxation, as listed in Alexandria.

a = 5.5085 Å, b = 5.5085 Å, c = 4.0091 Å
α = 90.00°, β = 90.00°, γ = 90.00°
Space group P4/mmm (No. 123)
Inequivalent atoms, fractional coordinates:
Be 0.0000 0.0000 0.0000 [1 per cell]
Ga 0.0000 0.5000 0.5000 [2 per cell]
As 0.0000 0.0000 0.5000 [1 per cell]
H 0.5000 0.5000 0.0000 [1 per cell]

- Crystal system: tetragonal
- Energy: -2.719 eV/atom

No. 4
First-principles (PBE) data for Ca2Ag4Hg5 after structural relaxation, as listed in Alexandria.

a = 5.8013 Å, b = 9.0859 Å, c = 9.8619 Å
α = 90.00°, β = 90.00°, γ = 90.00°
Space group Immm (No. 71)
Inequivalent atoms, fractional coordinates:
Ca 0.0000 0.0000 0.2258 [4 per cell]
Ag 0.0000 0.3346 0.2556 [8 per cell]
Hg 0.0000 0.5000 0.5000 [2 per cell]
Hg 0.2488 0.3196 0.0000 [8 per cell]

- Crystal system: orthorhombic
- ΔE_f: -174 meV/atom

No. 5
First-principles (PBE) data for Mg2TlMo after structural relaxation, as listed in Alexandria.

a = 7.7087 Å, b = 7.7087 Å, c = 5.7530 Å
α = 90.00°, β = 90.00°, γ = 90.00°
Space group I-42d (No. 122)
Inequivalent atoms, fractional coordinates:
Mg 0.2440 0.2500 0.1250 [8 per cell]
Tl 0.0000 0.0000 0.5000 [4 per cell]
Mo 0.0000 0.0000 0.0000 [4 per cell]

- Crystal system: tetragonal
- ΔE_f: 694 meV/atom

No. 6
First-principles (PBE) data for BaCoS2 after structural relaxation, as listed in Alexandria.

a = 7.0925 Å, b = 7.0925 Å, c = 7.1612 Å
α = 90.00°, β = 90.00°, γ = 90.00°
Space group I-42d (No. 122)
Inequivalent atoms, fractional coordinates:
Ba 0.0000 0.0000 0.0000 [4 per cell]
Co 0.0000 0.0000 0.5000 [4 per cell]
S 0.1371 0.2500 0.6250 [8 per cell]

- Uncorrected formation energy: -1070 meV per atom
- Crystal system: tetragonal

No. 7
First-principles (PBE) data for Sm6Bi2AsSe3 after structural relaxation, as listed in Alexandria.

a = 18.8237 Å, b = 4.3076 Å, c = 8.6443 Å
α = 90.00°, β = 102.83°, γ = 90.00°
Space group C2/m (No. 12)
Inequivalent atoms, fractional coordinates:
Sm 0.0038 0.0000 0.2648 [4 per cell]
Sm 0.1595 0.5000 0.0965 [4 per cell]
Sm 0.1601 0.5000 0.5689 [4 per cell]
Bi 0.1678 0.0000 0.8367 [4 per cell]
As 0.0000 0.5000 0.5000 [2 per cell]
Se 0.0000 0.5000 0.0000 [2 per cell]
Se 0.1689 0.0000 0.3369 [4 per cell]

- Uncorrected formation energy: -1465 meV per atom
- Crystal system: monoclinic

No. 8
First-principles (PBE) data for La2SmEr2Tm after structural relaxation, as listed in Alexandria.

a = 5.7029 Å, b = 9.8496 Å, c = 7.0814 Å
α = 90.00°, β = 90.00°, γ = 90.00°
Space group Pmc2_1 (No. 26)
Inequivalent atoms, fractional coordinates:
La 0.0000 0.0005 0.0000 [2 per cell]
La 0.5000 0.1813 0.2503 [2 per cell]
Sm 0.0000 0.3431 0.7493 [2 per cell]
Er 0.0000 0.3341 0.2496 [2 per cell]
Er 0.5000 0.1659 0.7500 [2 per cell]
Tm 0.5000 0.4998 0.9995 [2 per cell]

- Crystal system: orthorhombic
- ΔE_f: 68 meV/atom

No. 9
First-principles (PBE) data for Hg2SbPb5 after structural relaxation, as listed in Alexandria.

a = 8.2244 Å, b = 8.2244 Å, c = 14.2074 Å
α = 90.00°, β = 90.00°, γ = 90.00°
Space group I4/mcm (No. 140)
Inequivalent atoms, fractional coordinates:
Hg 0.1431 0.3569 0.0000 [8 per cell]
Sb 0.0000 0.0000 0.2500 [4 per cell]
Pb 0.0000 0.0000 0.0000 [4 per cell]
Pb 0.1505 0.3495 0.3414 [16 per cell]

- Uncorrected formation energy: 37 meV per atom
- Crystal system: tetragonal

No. 10
First-principles (PBE) data for CaSi2Ni after structural relaxation, as listed in Alexandria.

a = 3.8956 Å, b = 3.8956 Å, c = 10.6279 Å
α = 90.00°, β = 90.00°, γ = 120.00°
Space group P6_3/mmc (No. 194)
Inequivalent atoms, fractional coordinates:
Ca 0.3333 0.6667 0.2500 [2 per cell]
Si 0.3333 0.6667 0.5616 [4 per cell]
Ni 0.0000 0.0000 0.0000 [2 per cell]

- Uncorrected formation energy: -569 meV per atom
- Crystal system: hexagonal

No. 11
First-principles (PBE) data for CsRb2ThI8 after structural relaxation, as listed in Alexandria.

a = 6.7979 Å, b = 8.5189 Å, c = 10.8813 Å
α = 89.55°, β = 72.16°, γ = 89.58°
Space group P-1 (No. 2)
Inequivalent atoms, fractional coordinates:
Cs 0.0000 0.0000 0.0000 [1 per cell]
Rb 0.3346 0.4908 0.3124 [2 per cell]
Th 0.0000 0.0000 0.5000 [1 per cell]
I 0.1810 0.2511 0.6346 [2 per cell]
I 0.1940 0.7364 0.6198 [2 per cell]
I 0.2473 0.5001 0.9982 [2 per cell]
I 0.3646 0.0144 0.2474 [2 per cell]

- Uncorrected formation energy: -1283 meV per atom
- Crystal system: triclinic

No. 12
First-principles (PBE) data for Pr6ZnIr2Br3 after structural relaxation, as listed in Alexandria.

a = 7.3346 Å, b = 12.7080 Å, c = 8.2052 Å
α = 90.00°, β = 107.35°, γ = 90.00°
Space group C2/m (No. 12)
Inequivalent atoms, fractional coordinates:
Pr 0.2155 0.0000 0.2017 [4 per cell]
Pr 0.2428 0.3241 0.2015 [8 per cell]
Zn 0.0000 0.5000 0.0000 [2 per cell]
Ir 0.0000 0.1666 0.0000 [4 per cell]
Br 0.0000 0.0000 0.5000 [2 per cell]
Br 0.0000 0.3338 0.5000 [4 per cell]

- Uncorrected formation energy: -955 meV per atom
- Crystal system: monoclinic

no.,DOS(E_F) (states/eV per atom)
1,0.98
2,0.57
3,0.39
4,0.33
5,0.04
6,0.90
7,0.42
8,1.62
9,0.46
10,0.39
11,0.12
12,0.70